[1]
The following is a DFT calculation (GGA-PBE) of TbSm2Y5Er after structural relaxation.

Calculated values
formation enthalpy at 0 K: 0.268 eV/atom
crystal system: tetragonal
DOS at the Fermi energy: 23.89 states/eV/cell

Unit cell a=9.909 b=9.909 c=9.909 alpha=128.04 beta=128.04 gamma=76.57
Fractional positions:
Tb 0.250 0.250 0.000
Tb 0.750 0.750 0.000
Sm 0.117 0.617 0.733
Sm 0.383 0.117 0.500
Sm 0.617 0.883 0.500
Sm 0.883 0.383 0.267
Y 0.000 0.000 0.000
Y 0.071 0.152 0.500
Y 0.152 0.652 0.081
Y 0.348 0.429 0.500
Y 0.429 0.929 0.081
Y 0.500 0.500 0.000
Y 0.571 0.071 0.919
Y 0.652 0.571 0.500
Y 0.848 0.348 0.919
Y 0.929 0.848 0.500
Er 0.250 0.750 0.500
Er 0.750 0.250 0.500

[2]
The following is a DFT calculation (GGA-PBE) of ZnIn2F5 after structural relaxation.

Calculated values
uncorrected formation energy: -2.05 eV per atom
crystal system: orthorhombic
DOS at the Fermi energy: 3.15 states/eV/cell

Unit cell a=6.922 b=6.922 c=10.288 alpha=90.00 beta=90.00 gamma=146.21
Fractional positions:
Zn 0.171 0.829 0.750
Zn 0.829 0.171 0.250
In 0.125 0.875 0.104
In 0.125 0.875 0.396
In 0.875 0.125 0.604
In 0.875 0.125 0.896
F 0.070 0.930 0.601
F 0.070 0.930 0.899
F 0.286 0.714 0.594
F 0.286 0.714 0.906
F 0.306 0.694 0.250
F 0.694 0.306 0.750
F 0.714 0.286 0.094
F 0.714 0.286 0.406
F 0.930 0.070 0.101
F 0.930 0.070 0.399